VASP calculation (PBE) on a geometry-optimized Zr2ZnP structure.

Computed properties:
The space group is C2/m, No. 12. The raw total energy comes out at -25.9 eV/cell. The volume comes out at 72 Å³/f.u. The value obtained for the magnetization is 0.00 μB/atom. The density of states at the Fermi level comes out at 3.4 states/eV/f.u.

Unit cell a=4.732 b=4.732 c=3.306 alpha=94.75 beta=94.75 gamma=101.35
Fractional coordinates of all 4 atoms:
Zr: 0.000 0.500 0.000
Zr: 0.500 0.000 0.000
Zn: 0.000 0.000 0.500
P: 0.500 0.500 0.500